Below is crystalline LaNpTe3 at its relaxed geometry, with properties calculated at the PBE level.

Values from the calculation:
For the uncorrected energy, the calculation gives -129.7 eV per cell. The total magnetic moment is 16.01 Bohr magnetons per cell. For the formation energy without anion corrections, the calculation gives -1.026 eV per atom. The volume comes out at 162.61 Å³/f.u. As for the crystal system: orthorhombic.

```
LaNpTe3
1.0
6.847 -5.707 0.000
6.847 5.707 0.000
0.000 0.000 8.323
La Np Te
4 4 12
direct
0.157 0.343 0.250
0.343 0.157 0.750
0.657 0.843 0.250
0.843 0.657 0.750
0.196 0.804 0.376
0.304 0.696 0.876
0.696 0.304 0.124
0.804 0.196 0.624
0.013 0.684 0.095
0.068 0.932 0.705
0.184 0.513 0.595
0.316 0.987 0.095
0.432 0.568 0.205
0.487 0.816 0.595
0.513 0.184 0.405
0.568 0.432 0.795
0.684 0.013 0.905
0.816 0.487 0.405
0.932 0.068 0.295
0.987 0.316 0.905
```